(1)
First-principles (PBE) data for a relaxed structure of LiReAg2, as listed in Alexandria.

As for the offset from the most stable computed form: 218 meV/atom. The space group is C2/m, No. 12. The calculation puts the density of states at the Fermi level at 0.639 states/eV per atom. The magnetic moment is 0.89 μB/f.u. As for the total energy: -18.01 eV per cell. The energy of formation from the pure elements comes out at 2.1 eV/f.u.

The structure in extended XYZ format:
```
4
Lattice="4.908 -0.001 -0.022 4.196 2.545 -0.022 0.566 0.158 5.196" Properties=species:S:1:pos:R:3 pbc="T T T"
Ag 4.800 1.341 2.571
Li 2.417 0.675 1.288
Re 7.252 2.026 3.864
Ag 0.035 0.010 0.005
```

---

(2)
First-principles (PBE) data for a relaxed structure of Co4Pt2N, as listed in Alexandria.

The space group is I4/mmm, No. 139. The calculation puts the density of states at the Fermi level at 1.356 states/eV per atom. The magnetic moment is 7.08 μB/f.u. As for the total energy: -47.57 eV per cell.

The structure in extended XYZ format:
```
7
Lattice="3.731 0.000 0.000 0.000 3.731 0.000 1.866 1.866 6.286" Properties=species:S:1:pos:R:3 pbc="T T T"
Pt 3.731 3.731 4.310
Co 1.866 0.000 0.000
Pt 1.866 1.866 1.976
N 0.000 0.000 0.000
Co 0.000 1.866 0.000
Co 1.866 1.866 4.380
Co 3.731 3.731 1.906
```

---

(3)
First-principles (PBE) data for a relaxed structure of CsCd4In2, as listed in Alexandria.

As for the offset from the most stable computed form: 0 meV/atom. The space group is Cmmm, No. 65. The calculation puts the density of states at the Fermi level at 0.459 states/eV per atom. The magnetic moment is 0.00 μB/f.u. As for the total energy: -10.24 eV per cell. The energy of formation from the pure elements comes out at -0.2 eV/f.u.

The structure in extended XYZ format:
```
7
Lattice="5.072 0.000 0.000 0.000 5.095 0.000 0.000 -2.548 8.180" Properties=species:S:1:pos:R:3 pbc="T T T"
Cd 2.536 0.000 3.106
Cs 0.000 0.000 0.000
Cd 0.000 2.548 3.173
In 2.536 0.000 6.627
Cd 0.000 0.000 5.007
Cd 2.536 2.548 5.074
In 2.536 2.548 1.553
```

---

(4)
First-principles (PBE) data for a relaxed structure of RbPtCl, as listed in Alexandria.

As for the offset from the most stable computed form: 977 meV/atom. The space group is F-43m, No. 216. The calculation puts the density of states at the Fermi level at 0.308 states/eV per atom. The magnetic moment is 0.00 μB/f.u. As for the total energy: -8.24 eV per cell.

The structure in extended XYZ format:
```
3
Lattice="-2.936 -3.761 1.310 -4.114 -0.943 -2.583 -0.264 -4.039 -2.845" Properties=species:S:1:pos:R:3 pbc="T T T"
Pt -3.657 -4.372 -2.059
Rb -1.828 -2.186 -1.029
Cl -5.485 -6.557 -3.088
```

---

(5)
First-principles (PBE) data for a relaxed structure of TbSc2IrO8, as listed in Alexandria.

The space group is Cmmm, No. 65. The calculation puts the density of states at the Fermi level at 0.461 states/eV per atom. The magnetic moment is 1.24 μB/f.u. As for the total energy: -93.86 eV per cell.

The structure in extended XYZ format:
```
12
Lattice="-3.601 -1.285 3.023 3.239 -1.982 3.048 0.570 5.720 3.112" Properties=species:S:1:pos:R:3 pbc="T T T"
Sc -0.033 -0.157 3.839
O -0.104 -0.907 1.685
O 0.043 0.629 5.701
O -2.144 -0.208 3.693
Tb 0.285 2.860 1.556
O 0.166 1.824 3.483
O 2.025 -0.628 3.700
O 2.353 2.662 5.491
Ir 0.000 0.000 0.000
Sc 0.243 2.610 5.345
O -1.816 3.081 5.483
O 0.313 3.360 7.498
```

---

(6)
First-principles (PBE) data for a relaxed structure of HfIn2Sb, as listed in Alexandria.

The space group is R-3m, No. 166. The calculation puts the density of states at the Fermi level at 0.854 states/eV per atom. The magnetic moment is 0.00 μB/f.u. As for the total energy: -18.21 eV per cell.

The structure in extended XYZ format:
```
4
Lattice="3.247 0.000 0.000 1.624 2.812 0.000 1.624 0.937 11.650" Properties=species:S:1:pos:R:3 pbc="T T T"
In 1.624 0.937 8.681
In 4.871 2.812 2.969
Hf 0.000 0.000 0.000
Sb 3.247 1.875 5.825
```

---

(7)
First-principles (PBE) data for a relaxed structure of Pa2AlGa2, as listed in Alexandria.

The space group is Cmmm, No. 65. The calculation puts the density of states at the Fermi level at 1.329 states/eV per atom. The magnetic moment is 0.00 μB/f.u. As for the total energy: -30.13 eV per cell. The energy of formation from the pure elements comes out at -1.3 eV/f.u.

The structure in extended XYZ format:
```
5
Lattice="-0.823 -2.138 2.167 2.882 -3.125 -1.989 3.652 3.694 5.031" Properties=species:S:1:pos:R:3 pbc="T T T"
Pa 3.625 0.621 4.284
Ga 2.034 0.851 1.612
Ga 4.500 -0.282 1.431
Al 0.000 0.000 0.000
Pa 2.086 -2.190 0.926
```

---

(8)
First-principles (PBE) data for a relaxed structure of KCuNi2, as listed in Alexandria.

As for the offset from the most stable computed form: 272 meV/atom. The space group is P4/mmm, No. 123. The calculation puts the density of states at the Fermi level at 1.952 states/eV per atom. The magnetic moment is 0.69 μB/f.u. As for the total energy: -14.48 eV per cell. The energy of formation from the pure elements comes out at 2.3 eV/f.u.

The structure in extended XYZ format:
```
4
Lattice="-2.263 -1.319 1.383 1.788 -2.218 0.809 1.751 3.766 6.453" Properties=species:S:1:pos:R:3 pbc="T T T"
Ni 0.147 0.317 0.543
K 1.076 1.056 5.936
Ni 0.728 1.566 2.684
Cu 0.200 -0.827 2.710
```

---

(9)
First-principles (PBE) data for a relaxed structure of CeHgGe4, as listed in Alexandria.

The space group is F-43m, No. 216. The calculation puts the density of states at the Fermi level at 1.146 states/eV per atom. The magnetic moment is 0.82 μB/f.u. As for the total energy: -25.75 eV per cell. The energy of formation from the pure elements comes out at -1.0 eV/f.u.

The structure in extended XYZ format:
```
6
Lattice="5.648 0.000 0.000 2.824 4.891 0.000 2.824 1.630 4.611" Properties=species:S:1:pos:R:3 pbc="T T T"
Ce 2.824 1.630 1.153
Ge 4.246 4.070 2.878
Hg 0.000 0.000 0.000
Ge 5.648 1.642 2.878
Ge 5.648 3.261 0.589
Ge 7.050 4.070 2.878
```

---

(10)
First-principles (PBE) data for a relaxed structure of Mg5Be3, as listed in Alexandria.

As for the offset from the most stable computed form: 12 meV/atom. The space group is C2/m, No. 12. The calculation puts the density of states at the Fermi level at 0.312 states/eV per atom. The magnetic moment is 0.00 μB/f.u. As for the total energy: -33.48 eV per cell. The energy of formation from the pure elements comes out at 2.4 eV/f.u.

The structure in extended XYZ format:
```
16
Lattice="-4.067 5.682 -3.134 4.532 -5.743 -2.268 -5.912 -4.216 3.076" Properties=species:S:1:pos:R:3 pbc="T T T"
Mg -0.829 -2.065 -2.697
Be -3.361 -1.157 -2.589
Be 1.509 -3.494 -1.838
Mg -3.657 -5.288 0.426
Be 0.136 -0.046 -1.349
Mg -4.623 -2.216 0.368
Mg -1.816 -7.734 0.611
Mg -2.244 -0.463 -0.115
Be 0.325 -0.018 -4.056
Be -2.090 -3.124 0.262
Mg -0.684 -5.079 -0.963
Mg -3.207 -3.819 -2.213
Mg -4.767 0.799 -1.364
Mg -3.635 3.454 -2.939
Be -6.960 -0.786 -0.490
Mg -1.793 1.007 -2.754
```

---

(11)
First-principles (PBE) data for a relaxed structure of MgInW2, as listed in Alexandria.

As for the offset from the most stable computed form: 0 meV/atom. The space group is P4mm, No. 99. The calculation puts the density of states at the Fermi level at 0.623 states/eV per atom. The magnetic moment is 0.00 μB/f.u. As for the total energy: -29.04 eV per cell. The energy of formation from the pure elements comes out at 1.2 eV/f.u.

The structure in extended XYZ format:
```
4
Lattice="-2.250 -0.860 -2.323 2.472 -0.984 -2.030 -0.315 -6.003 2.526" Properties=species:S:1:pos:R:3 pbc="T T T"
In -0.156 -2.983 1.255
W -0.008 -0.146 0.062
W 0.044 -2.205 -1.636
Mg -0.130 -5.513 -0.244
```

---

(12)
First-principles (PBE) data for a relaxed structure of CuPd2Se6, as listed in Alexandria.

The space group is P4_2/mnm, No. 136. The calculation puts the density of states at the Fermi level at 1.186 states/eV per atom. The magnetic moment is 0.00 μB/f.u. As for the total energy: -70.27 eV per cell.

The structure in extended XYZ format:
```
18
Lattice="5.778 0.000 0.000 0.000 5.778 0.000 0.000 0.000 11.829" Properties=species:S:1:pos:R:3 pbc="T T T"
Se 4.682 1.096 0.000
Pd 2.889 2.889 7.894
Se 1.793 1.793 5.915
Se 3.960 3.960 9.920
Se 1.818 1.818 9.920
Pd 0.000 0.000 1.979
Se 4.707 1.071 4.005
Se 3.960 3.960 1.910
Cu 2.889 2.889 0.000
Pd 0.000 0.000 9.850
Se 3.984 3.984 5.915
Se 1.818 1.818 1.910
Se 1.071 4.707 7.824
Se 1.071 4.707 4.005
Se 4.707 1.071 7.824
Pd 2.889 2.889 3.935
Se 1.096 4.682 0.000
Cu 0.000 0.000 5.915
```